Entry 1:
The following is a GGA-PBE calculation of an optimized crystal structure of CsNa3Co, from Alexandria via LeMat-Bulk.

Cell: 6.8132 6.8132 6.8132 Å, 90.00 90.00 90.00°
Element x y z (fractional)
Cs (0.0000, 0.0000, 0.0000)
Na (0.0000, 0.5000, 0.0000)
Na (0.0000, 0.0000, 0.5000)
Na (0.5000, 0.0000, 0.0000)
Co (0.5000, 0.5000, 0.5000)

## Properties
**VASP energy**: -5.27 eV/cell
**Energy relative to the lowest polymorph listed for this composition**: 721 meV/atom
**Formation enthalpy at 0 K**: 1329 meV/atom



Entry 2:
The following is a GGA-PBE calculation of an optimized crystal structure of Cs2NaCo, from Alexandria via LeMat-Bulk.

Cell: 9.0519 9.0519 9.0519 Å, 60.00 60.00 60.00°
Element x y z (fractional)
Cs (0.6250, 0.1250, 0.1250)
Cs (0.1250, 0.6250, 0.1250)
Cs (0.1250, 0.1250, 0.6250)
Cs (0.1250, 0.1250, 0.1250)
Na (0.7500, 0.7500, 0.7500)
Na (0.5000, 0.5000, 0.5000)
Co (0.2500, 0.2500, 0.2500)
Co (0.0000, 0.0000, 0.0000)

## Properties
**VASP energy**: -11.97 eV/cell
**Formation enthalpy at 0 K**: 1037 meV/atom



Look up the VASP energy of the first one.
-5.27 eV/cell



The lowest VASP energy belongs to which entry?
Cs2NaCo